[1]
The following is a PBE-GGA calculation of crystalline TmFePH at its relaxed geometry, from Alexandria.

Cell: 3.7481 3.7481 7.1816 Å, 90.00 90.00 90.00°
Fractional positions:
P (0.0000, 0.5000, 0.8374)
P (0.5000, 0.0000, 0.1626)
Tm (0.0000, 0.5000, 0.3291)
Tm (0.5000, 0.0000, 0.6709)
Fe (0.5000, 0.5000, 0.0000)
Fe (0.0000, 0.0000, 0.0000)
H (0.5000, 0.5000, 0.5000)
H (0.0000, 0.0000, 0.5000)

Summary:
E = -6.370 eV per atom
DOS at the Fermi energy = 5.0 states/eV/cell

[2]
The following is a PBE-GGA calculation of crystalline YFe2PH at its relaxed geometry, from Alexandria.

Cell: 3.5813 5.3540 6.8855 Å, 90.00 90.00 109.54°
Last column: magnetic moment on the atom in μB.
Fractional positions:
H (0.0000, 0.0000, 0.0000)  -0.01
H (0.0000, 0.0000, 0.5000)  -0.01
Fe (0.8289, 0.6578, 0.0585)  1.69
Fe (0.1711, 0.3422, 0.5585)  1.69
Fe (0.1711, 0.3422, 0.9415)  1.69
Fe (0.8289, 0.6578, 0.4415)  1.69
Y (0.5467, 0.0933, 0.2500)  -0.10
Y (0.4533, 0.9067, 0.7500)  -0.10
P (0.2655, 0.5311, 0.2500)  -0.03
P (0.7345, 0.4689, 0.7500)  -0.03

Summary:
E = -7.056 eV per atom
DOS at the Fermi energy = 7.8 states/eV/cell

[3]
The following is a PBE-GGA calculation of crystalline ZrFe2PH at its relaxed geometry, from Alexandria.

Cell: 3.5716 5.1262 6.5396 Å, 90.00 90.00 110.39°
Last column: magnetic moment on the atom in μB.
Fractional positions:
P (0.7246, 0.4492, 0.7500)  -0.02
P (0.2754, 0.5508, 0.2500)  -0.02
Fe (0.1633, 0.3267, 0.5579)  0.86
Fe (0.8367, 0.6733, 0.0579)  0.86
Fe (0.1633, 0.3267, 0.9421)  0.86
Fe (0.8367, 0.6733, 0.4421)  0.86
H (0.0000, 0.0000, 0.5000)  0.00
H (0.0000, 0.0000, 0.0000)  0.00
Zr (0.5577, 0.1154, 0.2500)  -0.14
Zr (0.4423, 0.8846, 0.7500)  -0.14

Summary:
E = -7.448 eV per atom
DOS at the Fermi energy = 10.0 states/eV/cell

[4]
The following is a PBE-GGA calculation of crystalline ZrFePH at its relaxed geometry, from Alexandria.

Cell: 3.6829 3.6829 6.7296 Å, 90.00 90.00 90.00°
Fractional positions:
P (0.0000, 0.5000, 0.8215)
P (0.5000, 0.0000, 0.1785)
H (0.5000, 0.5000, 0.5000)
H (0.0000, 0.0000, 0.5000)
Zr (0.0000, 0.5000, 0.3358)
Zr (0.5000, 0.0000, 0.6642)
Fe (0.5000, 0.5000, 0.0000)
Fe (0.0000, 0.0000, 0.0000)

Summary:
E = -7.273 eV per atom
DOS at the Fermi energy = 4.0 states/eV/cell

[5]
The following is a PBE-GGA calculation of crystalline PaFeH4 at its relaxed geometry, from Alexandria.

Cell: 3.9160 4.3769 6.1134 Å, 90.00 108.68 90.00°
Last column: magnetic moment on the atom in μB.
Fractional positions:
H (0.1999, 0.0246, 0.3998)  0.00
H (0.8001, 0.5246, 0.6002)  0.00
H (0.8001, 0.9754, 0.6002)  0.00
H (0.4215, 0.2500, 0.8429)  0.00
H (0.0000, 0.5000, 0.0000)  0.00
H (0.1999, 0.4754, 0.3998)  0.00
H (0.0000, 0.0000, 0.0000)  0.00
H (0.5785, 0.7500, 0.1571)  0.00
Pa (0.6328, 0.2500, 0.2656)  -0.51
Pa (0.3672, 0.7500, 0.7344)  -0.51
Fe (0.1048, 0.7500, 0.2096)  1.16
Fe (0.8952, 0.2500, 0.7904)  1.16

Summary:
Energy above the most stable polymorph in this dataset = 0.00 eV per formula unit
DOS at the Fermi energy = 4.9 states/eV/cell

[6]
The following is a PBE-GGA calculation of crystalline PaFe3H at its relaxed geometry, from Alexandria.

Cell: 3.8263 3.8263 3.8263 Å, 90.00 90.00 90.00°
Fractional positions:
Fe (0.0000, 0.0000, 0.5000)
Fe (0.5000, 0.0000, 0.0000)
Fe (0.0000, 0.5000, 0.0000)
Pa (0.5000, 0.5000, 0.5000)
H (0.0000, 0.0000, 0.0000)

Summary:
E = -7.718 eV per atom
DOS at the Fermi energy = 7.0 states/eV/cell